--- one ---
Material: NaCu4Te2
Method: DFT, PBE
State: optimized geometry

```
data_NaCu4Te2
_symmetry_space_group_name_H-M 'P 1'
_symmetry_Int_Tables_number 1
_cell_length_a 4.693
_cell_length_b 4.693
_cell_length_c 7.663
_cell_angle_alpha 72.17
_cell_angle_beta 72.17
_cell_angle_gamma 90.00
loop_
_symmetry_equiv_pos_as_xyz
'x,y,z'
loop_
_atom_site_label
_atom_site_type_symbol
_atom_site_fract_x
_atom_site_fract_y
_atom_site_fract_z
Te1 Te 0.626 0.626 0.748
Cu1 Cu 0.806 0.806 0.389
Cu2 Cu 0.000 0.500 0.000
Te2 Te 0.374 0.374 0.252
Cu3 Cu 0.500 0.000 0.000
Cu4 Cu 0.194 0.194 0.611
Na1 Na 0.000 0.000 0.000
```

***

--- two ---
Material: NaCu4Te2
Method: DFT, PBE
State: optimized geometry

```
data_NaCu4Te2
_symmetry_space_group_name_H-M 'P 1'
_symmetry_Int_Tables_number 1
_cell_length_a 4.244
_cell_length_b 4.244
_cell_length_c 9.110
_cell_angle_alpha 76.53
_cell_angle_beta 76.53
_cell_angle_gamma 60.00
loop_
_symmetry_equiv_pos_as_xyz
'x,y,z'
loop_
_atom_site_label
_atom_site_type_symbol
_atom_site_fract_x
_atom_site_fract_y
_atom_site_fract_z
Cu1 Cu 0.452 0.452 0.644
Cu2 Cu 0.157 0.157 0.528
Te1 Te 0.744 0.744 0.769
Na1 Na 0.000 0.000 0.000
Cu3 Cu 0.548 0.548 0.356
Te2 Te 0.256 0.256 0.231
Cu4 Cu 0.843 0.843 0.472
```

***

Stability ranking, top entry: two; the second entry is 0.775 eV/atom less favorable.

***

--- one ---
Material: NaCu3Te3
Method: DFT, PBE
State: optimized geometry

```
data_NaCu3Te3
_symmetry_space_group_name_H-M 'P 1'
_symmetry_Int_Tables_number 1
_cell_length_a 7.035
_cell_length_b 7.035
_cell_length_c 9.197
_cell_angle_alpha 67.51
_cell_angle_beta 67.51
_cell_angle_gamma 60.00
loop_
_symmetry_equiv_pos_as_xyz
'x,y,z'
loop_
_atom_site_label
_atom_site_type_symbol
_atom_site_fract_x
_atom_site_fract_y
_atom_site_fract_z
Te1 Te 0.239 0.579 0.271
Te2 Te 0.911 0.239 0.271
Cu1 Cu 0.526 0.199 0.414
Te3 Te 0.579 0.911 0.271
Cu2 Cu 0.199 0.861 0.414
Cu3 Cu 0.474 0.801 0.586
Te4 Te 0.421 0.089 0.729
Na1 Na 0.334 0.334 0.999
Na2 Na 0.666 0.666 0.001
Te5 Te 0.761 0.421 0.729
Cu4 Cu 0.861 0.526 0.414
Te6 Te 0.089 0.761 0.729
Cu5 Cu 0.801 0.139 0.586
Cu6 Cu 0.139 0.474 0.586
```

***

--- two ---
Material: NaCu3Te3
Method: DFT, PBE
State: optimized geometry

```
data_NaCu3Te3
_symmetry_space_group_name_H-M 'P 1'
_symmetry_Int_Tables_number 1
_cell_length_a 7.288
_cell_length_b 7.288
_cell_length_c 7.288
_cell_angle_alpha 90.00
_cell_angle_beta 90.00
_cell_angle_gamma 90.00
loop_
_symmetry_equiv_pos_as_xyz
'x,y,z'
loop_
_atom_site_label
_atom_site_type_symbol
_atom_site_fract_x
_atom_site_fract_y
_atom_site_fract_z
Te1 Te 0.000 0.250 0.500
Cu1 Cu 0.500 0.750 0.000
Te2 Te 0.000 0.750 0.500
Te3 Te 0.250 0.500 0.000
Cu2 Cu 0.000 0.500 0.250
Te4 Te 0.750 0.500 0.000
Na1 Na 0.000 0.000 0.000
Te5 Te 0.500 0.000 0.250
Cu3 Cu 0.000 0.500 0.750
Na2 Na 0.500 0.500 0.500
Cu4 Cu 0.750 0.000 0.500
Te6 Te 0.500 0.000 0.750
Cu5 Cu 0.500 0.250 0.000
Cu6 Cu 0.250 0.000 0.500
```

***

Stability ranking, top entry: one; the second entry is 0.093 eV/atom less favorable.